(1)
A plane-wave DFT calculation with PBE was carried out for a relaxed structure of Pr3Dy6Th.

Computed properties:
- Formation energy from the elements: 236 kJ/mol of formula units
- Energy above the most stable polymorph in this dataset: 0.016 eV per atom
- Final energy: -46.9 eV for the cell shown
- Mass density: 8.01 g cm⁻³

Lattice parameters (Å, degrees): 6.5681 6.5681 9.0423 90.00 90.00 120.00
Atoms (fractional coordinates):
Pr: 0.0000 0.0000 0.0000
Pr: 0.3333 0.6667 0.0000
Pr: 0.6667 0.3333 0.0000
Dy: 0.0000 0.4192 0.3162
Dy: 0.0000 0.5808 0.6838
Dy: 0.4192 0.0000 0.3162
Dy: 0.4192 0.4192 0.6838
Dy: 0.5808 0.0000 0.6838
Dy: 0.5808 0.5808 0.3162
Th: 0.0000 0.0000 0.5000


(2)
A plane-wave DFT calculation with PBE was carried out for a relaxed structure of Na2As2Ir.

Computed properties:
- Formation energy from the elements: -207 kJ/mol of formula units
- Final energy: -45.9 eV for the cell shown
- Mass density: 6.49 g cm⁻³

Lattice parameters (Å, degrees): 6.3279 6.3279 4.9589 90.00 90.00 90.00
Atoms (fractional coordinates):
Na: 0.1814 0.3186 0.0000
Na: 0.3186 0.8186 0.0000
Na: 0.6814 0.1814 0.0000
Na: 0.8186 0.6814 0.0000
As: 0.1385 0.6385 0.5000
As: 0.3615 0.1385 0.5000
As: 0.6385 0.8615 0.5000
As: 0.8615 0.3615 0.5000
Ir: 0.0000 0.0000 0.5000
Ir: 0.5000 0.5000 0.5000